(1)
First-principles (SCAN) data for LaTa3 at its PBEsol-relaxed geometry, as listed in Alexandria via LeMat-Bulk.

Energy of formation ... 0.57 eV per atom
Crystal system ... orthorhombic
D(E_F) ... 4.1 states/eV per cell
E_tot ... -240.6 eV/cell

abc: 2.8512 4.8365 6.0580
angles: 90.00 90.00 90.00
Element x y z (fractional)
La 0.0000 0.0000 0.0000
Ta 0.0000 0.5000 0.3012
Ta 0.5000 0.0000 0.4896
Ta 0.5000 0.5000 0.7198

(2)
First-principles (SCAN) data for LaTa2 at its PBEsol-relaxed geometry, as listed in Alexandria via LeMat-Bulk.

Distance to the lowest polymorph of the same formula ... 0.51 eV/f.u.
Energy of formation ... 0.70 eV per atom
Crystal system ... hexagonal
D(E_F) ... 2.9 states/eV per cell
E_tot ... -174.2 eV/cell

abc: 5.0178 5.0178 3.0663
angles: 90.00 90.00 120.00
Element x y z (fractional)
La 0.0000 0.0000 0.0000
Ta 0.3333 0.6667 0.5000
Ta 0.6667 0.3333 0.5000

(3)
First-principles (SCAN) data for LaTaTc2 at its PBEsol-relaxed geometry, as listed in Alexandria via LeMat-Bulk.

Energy of formation ... 0.36 eV per atom
Crystal system ... orthorhombic
D(E_F) ... 2.3 states/eV per cell
E_tot ... -178.4 eV/cell

abc: 5.7120 5.7120 5.7120
angles: 148.18 131.52 59.16
Element x y z (fractional)
La 0.0000 0.0000 0.0000
Ta 0.2692 0.7692 0.5000
Tc 0.5341 0.5341 0.0000
Tc 0.7451 0.2451 0.5000

(4)
First-principles (SCAN) data for LaTa2Tc at its PBEsol-relaxed geometry, as listed in Alexandria via LeMat-Bulk.

Distance to the lowest polymorph of the same formula ... 0.97 eV/f.u.
Energy of formation ... 0.38 eV per atom
Crystal system ... trigonal
D(E_F) ... 3.9 states/eV per cell
E_tot ... -209.8 eV/cell

abc: 9.6932 9.6932 9.6932
angles: 18.29 18.29 18.29
Element x y z (fractional)
La 0.0000 0.0000 0.0000
Ta 0.5123 0.5123 0.5123
Ta 0.7665 0.7665 0.7665
Tc 0.2449 0.2449 0.2449

(5)
First-principles (SCAN) data for La3TaTc at its PBEsol-relaxed geometry, as listed in Alexandria via LeMat-Bulk.

Energy of formation ... 1.10 eV per atom
Crystal system ... cubic
D(E_F) ... 6.1 states/eV per cell
E_tot ... -225.5 eV/cell

abc: 5.4750 5.4750 5.4750
angles: 90.00 90.00 90.00
Element x y z (fractional)
La 0.0000 0.0000 0.5000
La 0.0000 0.5000 0.0000
La 0.5000 0.0000 0.0000
Ta 0.0000 0.0000 0.0000
Tc 0.5000 0.5000 0.5000

(6)
First-principles (SCAN) data for LaTaTc2 at its PBEsol-relaxed geometry, as listed in Alexandria via LeMat-Bulk.

Energy of formation ... 0.27 eV per atom
Crystal system ... monoclinic
D(E_F) ... 2.6 states/eV per cell
E_tot ... -178.7 eV/cell

abc: 5.2492 5.2492 5.1516
angles: 105.49 105.49 34.86
Element x y z (fractional)
La 0.0000 0.0000 0.0000
Ta 0.2072 0.2072 0.6574
Tc 0.4867 0.4867 0.4763
Tc 0.7722 0.7722 0.3247

(7)
First-principles (SCAN) data for LaTa2Tc at its PBEsol-relaxed geometry, as listed in Alexandria via LeMat-Bulk.

Distance to the lowest polymorph of the same formula ... 2.05 eV/f.u.
Energy of formation ... 0.65 eV per atom
Crystal system ... tetragonal
D(E_F) ... 4.4 states/eV per cell
E_tot ... -208.7 eV/cell

abc: 3.8902 3.8902 5.1244
angles: 90.00 90.00 90.00
Element x y z (fractional)
La 0.0000 0.0000 0.0000
Ta 0.0000 0.5000 0.5000
Ta 0.5000 0.0000 0.5000
Tc 0.5000 0.5000 0.0000

(8)
First-principles (SCAN) data for LaTaTc2 at its PBEsol-relaxed geometry, as listed in Alexandria via LeMat-Bulk.

Energy of formation ... 0.38 eV per atom
Crystal system ... cubic
D(E_F) ... 3.0 states/eV per cell
E_tot ... -178.3 eV/cell

abc: 4.6176 4.6176 4.6176
angles: 60.00 60.00 60.00
Element x y z (fractional)
La 0.0000 0.0000 0.0000
Ta 0.7500 0.7500 0.7500
Tc 0.2500 0.2500 0.2500
Tc 0.5000 0.5000 0.5000

(9)
First-principles (SCAN) data for LaTa2Tc at its PBEsol-relaxed geometry, as listed in Alexandria via LeMat-Bulk.

Distance to the lowest polymorph of the same formula ... 0.00 eV/f.u.
Energy of formation ... 0.13 eV per atom
Crystal system ... tetragonal
D(E_F) ... 4.1 states/eV per cell
E_tot ... -210.8 eV/cell

abc: 3.1681 3.1681 7.9275
angles: 90.00 90.00 90.00
Element x y z (fractional)
La 0.0000 0.0000 0.0000
Ta 0.0000 0.0000 0.5453
Ta 0.5000 0.5000 0.3196
Tc 0.5000 0.5000 0.7208

(10)
First-principles (SCAN) data for LaTaTe at its PBEsol-relaxed geometry, as listed in Alexandria via LeMat-Bulk.

Distance to the lowest polymorph of the same formula ... 0.00 eV/f.u.
Crystal system ... trigonal
D(E_F) ... 1.1 states/eV per cell
E_tot ... -147.0 eV/cell
Uncorrected formation energy ... -0.0331 eV/atom

abc: 3.5208 3.5208 7.1516
angles: 90.00 90.00 120.00
Element x y z (fractional)
La 0.0000 0.0000 0.0000
Ta 0.3333 0.6667 0.6522
Te 0.6667 0.3333 0.3868

(11)
First-principles (SCAN) data for LaTa2Te at its PBEsol-relaxed geometry, as listed in Alexandria via LeMat-Bulk.

Crystal system ... orthorhombic
D(E_F) ... 4.3 states/eV per cell
E_tot ... -211.2 eV/cell
Uncorrected formation energy ... 0.5915 eV/atom

abc: 3.1566 3.1566 9.4329
angles: 90.00 90.00 110.71
Element x y z (fractional)
La 0.0000 0.0000 0.0000
Ta 0.5000 0.5000 0.2760
Ta 0.5000 0.5000 0.7240
Te 0.0000 0.0000 0.5000

(12)
First-principles (SCAN) data for La2TaTe at its PBEsol-relaxed geometry, as listed in Alexandria via LeMat-Bulk.

Crystal system ... orthorhombic
D(E_F) ... 4.0 states/eV per cell
E_tot ... -190.9 eV/cell
Uncorrected formation energy ... -0.2165 eV/atom

abc: 6.5089 6.5089 6.5089
angles: 146.90 134.14 57.72
Element x y z (fractional)
La 0.0000 0.0000 0.0000
La 0.7297 0.2297 0.5000
Ta 0.2471 0.7471 0.5000
Te 0.4339 0.4339 0.0000